A geometry-optimized Li6Mn5CoO12 structure, computed with GGA+U.

## Properties
**Calculated total energy**: -154.0 eV per cell
**Symmetry**: No. 2
**V**: 9.74 A^3/atom
**Energy relative to the lowest polymorph listed for this composition**: 0.413 eV/f.u.

POSCAR file:
```
Li6Mn5CoO12
1.0
5.059 0.000 0.000
2.110 4.598 0.000
0.944 1.162 10.050
Li Mn Co O
6 5 1 12
Cartesian
0.829 1.345 2.620
2.383 1.546 7.470
3.212 2.865 2.614
4.899 2.896 7.436
5.729 4.215 2.580
7.283 4.415 7.430
1.198 0.761 0.024
3.894 4.398 5.024
3.584 2.299 0.000
4.218 1.362 5.026
6.914 4.999 10.026
1.527 2.880 5.025
2.324 4.247 3.883
3.455 5.148 8.913
1.989 2.161 1.148
3.101 3.034 6.166
2.491 1.377 4.044
3.722 2.081 8.920
4.390 3.680 1.130
5.621 4.383 6.007
5.010 2.726 3.884
6.123 3.599 8.902
4.657 0.612 1.137
5.788 1.514 6.167
```